Compound: RbPbSN2
Source: Alexandria via LeMat-Bulk
Functional: PBE
Structure: relaxed

abc: 4.978 4.978 6.228
angles: 90.00 90.00 90.00
Sites, in units of the cell vectors:
Rb 0.000 0.000 0.000
Pb 0.500 0.500 0.500
S 0.000 0.000 0.500
N 0.000 0.500 0.000
N 0.500 0.000 0.000

Output
- Polymorph energy (0 for the lowest one): 4.38 eV/f.u.
- Space-group type: P4/mmm (123)

Compound: Tb2DyHoEr2
Source: Alexandria via LeMat-Bulk
Functional: PBE
Structure: relaxed

abc: 6.493 17.613 3.353
angles: 90.00 90.00 90.00
Sites, in units of the cell vectors:
Tb 0.230 0.185 0.000
Tb 0.270 0.685 0.500
Tb 0.730 0.315 0.500
Tb 0.770 0.815 0.000
Dy 0.000 0.500 0.000
Dy 0.500 0.000 0.500
Ho 0.000 0.000 0.000
Ho 0.500 0.500 0.500
Er 0.228 0.353 0.500
Er 0.272 0.853 0.000
Er 0.728 0.147 0.000
Er 0.772 0.647 0.500

Output
- Space-group type: Pnnm (58)
- Energy of formation from the pure elements: 1.7 eV per formula unit